VASP calculation (PBE) on a relaxed TbSc5S6 crystal.

Crystal system: monoclinic
SG: C2/m (12)
E_form (uncorrected) (meV per atom): -1885

Cell: 6.469 6.469 6.468 Å, 99.57 99.57 120.14°
Positions (direct):
Tb1 0.000 0.000 0.000
Sc1 0.161 0.839 0.500
Sc2 0.335 0.665 0.000
Sc3 0.500 0.500 0.500
Sc4 0.665 0.335 0.000
Sc5 0.839 0.161 0.500
S1 0.085 0.430 0.257
S2 0.259 0.259 0.746
S3 0.430 0.085 0.257
S4 0.570 0.915 0.743
S5 0.741 0.741 0.254
S6 0.915 0.570 0.743

VASP calculation (PBE) on a relaxed Ac4La8Pr crystal.

Crystal system: trigonal
SG: R-3m (166)

Cell: 8.236 8.236 8.236 Å, 97.64 97.64 97.64°
Positions (direct):
Ac1 0.000 0.000 0.000
Ac2 0.000 0.500 0.500
Ac3 0.500 0.000 0.500
Ac4 0.500 0.500 0.000
La1 0.159 0.159 0.671
La2 0.159 0.671 0.159
La3 0.250 0.250 0.250
La4 0.329 0.841 0.841
La5 0.671 0.159 0.159
La6 0.750 0.750 0.750
La7 0.841 0.329 0.841
La8 0.841 0.841 0.329
Pr1 0.500 0.500 0.500

VASP calculation (PBE) on a relaxed K2Tl2Au3 crystal.

Distance to the lowest polymorph of the same formula (meV per atom): 0
Crystal system: monoclinic
SG: C2/m (12)

Cell: 12.582 4.786 7.835 Å, 90.00 122.02 90.00°
Positions (direct):
K1 0.152 0.000 0.282
K2 0.348 0.500 0.718
K3 0.652 0.500 0.282
K4 0.848 0.000 0.718
Tl1 0.153 0.000 0.776
Tl2 0.347 0.500 0.224
Tl3 0.653 0.500 0.776
Tl4 0.847 0.000 0.224
Au1 0.000 0.500 0.500
Au2 0.073 0.500 0.913
Au3 0.427 0.000 0.087
Au4 0.500 0.000 0.500
Au5 0.573 0.000 0.913
Au6 0.927 0.500 0.087

VASP calculation (PBE) on a relaxed GaTeH2 crystal.

Distance to the lowest polymorph of the same formula (meV per atom): 173
Crystal system: tetragonal
SG: I-42d (122)

Cell: 5.586 5.586 7.920 Å, 90.00 90.00 90.00°
Positions (direct):
Ga1 0.000 0.000 0.000
Ga2 0.000 0.500 0.250
Ga3 0.500 0.000 0.750
Ga4 0.500 0.500 0.500
Te1 0.000 0.000 0.500
Te2 0.000 0.500 0.750
Te3 0.500 0.000 0.250
Te4 0.500 0.500 0.000
H1 0.001 0.750 0.125
H2 0.250 0.001 0.875
H3 0.250 0.499 0.375
H4 0.499 0.750 0.625
H5 0.501 0.250 0.625
H6 0.750 0.501 0.375
H7 0.750 0.999 0.875
H8 0.999 0.250 0.125

| no. | electronic total energy (eV for the cell shown) |
| --- | --- |
| 1 | -83.67 |
| 2 | -55.81 |
| 3 | -36.41 |
| 4 | -46.62 |